A PBEsol-optimized structure of YFe2, computed with SCAN.

The space group is I4/mmm (No. 139) and the conventional cell measures 3.164, 3.164 and 9.826 Å, with angles of 90.00, 90.00 and 90.00 degrees. Symmetry generates all atoms from Y at (0.000, 0.000, 0.000) and Fe at (0.000, 0.000, 0.301).

The value obtained for the formation energy is 0.12 eV per atom. The value obtained for the density of states at the Fermi level is 0.5501 states/eV per atom. The density is 6.77 Mg/m³.